Sr3Ag2Bi3 PBE relaxed; space-group type = Cmcm, No. 63; total moment = 0.000 μB per formula unit; V = 32.16 Å³/atom
1.0
2.455 -6.248 0.000
2.455 6.248 0.000
0.000 0.000 16.778
Sr Ag Bi
6 4 6
Cartesian
2.455 5.217 10.122
2.455 5.217 15.045
2.455 1.920 12.583
2.455 -1.920 4.194
2.455 -5.217 1.733
2.455 -5.217 6.656
2.455 3.433 1.762
2.455 3.433 6.627
2.455 -3.433 10.151
2.455 -3.433 15.016
2.455 1.726 4.194
2.455 1.585 9.142
2.455 1.585 16.025
2.455 -1.585 0.753
2.455 -1.585 7.636
2.455 -1.726 12.583



SrAgBi2 PBE relaxed; space-group type = P4/mmm, No. 123; total moment = 0.000 μB per formula unit; V = 29.51 Å³/atom
1.0
5.007 0.000 0.000
0.000 5.007 0.000
0.000 0.000 4.708
Sr Ag Bi
1 1 2
Cartesian
0.000 0.000 0.000
2.504 2.504 0.000
0.000 2.504 2.354
2.504 0.000 2.354



SrAg4Bi PBE relaxed; space-group type = F-43m, No. 216; total moment = 0.000 μB per formula unit; V = 23.11 Å³/atom
1.0
0.000 4.108 4.108
4.108 0.000 4.108
4.108 4.108 0.000
Sr Ag Bi
1 4 1
Cartesian
0.000 0.000 0.000
5.137 3.080 3.080
3.080 5.137 3.080
3.080 3.080 5.137
5.137 5.137 5.137
2.054 2.054 2.054



SrAgBi PBE relaxed; space-group type = I4mm, No. 107; total moment = 0.000 μB per formula unit; V = 35.44 Å³/atom
1.0
-1.803 1.803 8.177
1.803 -1.803 8.177
1.803 1.803 -8.177
Sr Ag Bi
1 1 1
Cartesian
0.000 0.000 0.000
0.000 0.000 10.160
0.000 0.000 13.024



SrAgBi PBE relaxed; space-group type = Cmcm, No. 63; total moment = 0.000 μB per formula unit; V = 32.51 Å³/atom
1.0
3.303 -4.279 0.000
3.303 4.279 0.000
0.000 0.000 6.899
Sr Ag Bi
2 2 2
Cartesian
3.303 2.901 5.175
3.303 -2.901 1.725
3.303 0.000 0.000
3.303 0.000 3.450
3.303 2.245 1.725
3.303 -2.245 5.175



Sr3AgBi PBE relaxed; space-group type = C222, No. 21; total moment = 0.000 μB per formula unit; V = 40.72 Å³/atom
1.0
5.357 -7.994 0.000
5.357 7.994 0.000
0.000 0.000 4.755
Sr Ag Bi
6 2 2
Cartesian
5.357 5.622 0.000
3.362 1.912 2.375
3.362 -1.912 2.380
7.352 1.912 2.380
7.352 -1.912 2.375
5.357 -5.622 0.000
2.678 3.997 4.751
2.678 -3.997 0.004
0.000 0.000 2.377
5.357 0.000 0.000



| no. | electronic total energy (eV per atom) |
| --- | --- |
| 1 | -3.4136 |
| 2 | -3.4244 |
| 3 | -3.0656 |
| 4 | -2.7327 |
| 5 | -3.2636 |
| 6 | -2.7770 |